(1)
DFT (PBE) results for crystalline CaZr3Cl at its relaxed geometry.

Cell: 4.962 4.962 4.962 Å, 90.00 90.00 90.00°
Fractional coordinates of all 5 atoms:
Ca 0.000 0.000 0.000
Zr 0.000 0.500 0.500
Zr 0.500 0.000 0.500
Zr 0.500 0.500 0.000
Cl 0.500 0.500 0.500

Calculated values
- Energy relative to the lowest polymorph listed for this composition: 0 meV per atom
- Formation energy from raw total energies: -0.03 eV per atom
- Space group: Pm-3m, No. 221

=====

(2)
DFT (PBE) results for crystalline Ta2PCl at its relaxed geometry.

Cell: 2.884 4.183 5.789 Å, 90.00 90.00 90.00°
Fractional coordinates of all 4 atoms:
Ta 0.000 0.000 0.000
Ta 0.500 0.000 0.500
P 0.000 0.500 0.500
Cl 0.500 0.500 0.000

Calculated values
- Energy relative to the lowest polymorph listed for this composition: 484 meV per atom
- Formation energy from raw total energies: 0.16 eV per atom
- Space group: Pmmm, No. 47

=====

(3)
DFT (PBE) results for crystalline Al2Co2Hg at its relaxed geometry.

Cell: 6.995 6.995 2.871 Å, 90.00 90.00 90.00°
Fractional coordinates of all 10 atoms:
Al 0.146 0.354 0.000
Al 0.354 0.854 0.000
Al 0.646 0.146 0.000
Al 0.854 0.646 0.000
Co 0.145 0.645 0.500
Co 0.355 0.145 0.500
Co 0.645 0.855 0.500
Co 0.855 0.355 0.500
Hg 0.000 0.000 0.500
Hg 0.500 0.500 0.500

Calculated values
- Energy relative to the lowest polymorph listed for this composition: 0 meV per atom
- Energy of formation: -166.3 meV/atom
- Space group: P4/mbm, No. 127

=====

(4)
DFT (PBE) results for crystalline V4GaP at its relaxed geometry.

Cell: 8.553 8.553 4.921 Å, 90.00 90.00 150.42°
Fractional coordinates of all 12 atoms:
V 0.062 0.938 0.750
V 0.206 0.794 0.007
V 0.206 0.794 0.493
V 0.375 0.625 0.750
V 0.625 0.375 0.250
V 0.794 0.206 0.507
V 0.794 0.206 0.993
V 0.938 0.062 0.250
Ga 0.348 0.652 0.250
Ga 0.652 0.348 0.750
P 0.077 0.923 0.250
P 0.923 0.077 0.750

Calculated values
- Energy of formation: -240.1 meV/atom
- Space group: Cmcm, No. 63

=====

(5)
DFT (PBE) results for crystalline Tm12Fe6Te at its relaxed geometry.

Cell: 8.303 8.303 8.303 Å, 109.47 109.47 109.47°
Fractional coordinates of all 19 atoms:
Tm 0.103 0.302 0.801
Tm 0.199 0.501 0.302
Tm 0.199 0.897 0.698
Tm 0.302 0.199 0.501
Tm 0.302 0.801 0.103
Tm 0.499 0.698 0.801
Tm 0.501 0.302 0.199
Tm 0.698 0.199 0.897
Tm 0.698 0.801 0.499
Tm 0.801 0.103 0.302
Tm 0.801 0.499 0.698
Tm 0.897 0.698 0.199
Fe 0.110 0.500 0.610
Fe 0.390 0.890 0.500
Fe 0.500 0.390 0.890
Fe 0.500 0.610 0.110
Fe 0.610 0.110 0.500
Fe 0.890 0.500 0.390
Te 0.000 0.000 0.000

Calculated values
- Formation energy from raw total energies: -0.17 eV per atom
- Space group: Im-3, No. 204

=====

(6)
DFT (PBE) results for crystalline NaInPbBr4 at its relaxed geometry.

Cell: 9.258 9.258 9.258 Å, 122.87 120.44 87.17°
Fractional coordinates of all 14 atoms:
Na 0.389 0.139 0.250
Na 0.611 0.861 0.750
In 0.000 0.000 0.500
In 0.000 0.500 0.000
Pb 0.000 0.500 0.500
Pb 0.500 0.500 0.000
Br 0.235 0.726 0.509
Br 0.252 0.265 0.513
Br 0.252 0.739 0.987
Br 0.283 0.274 0.009
Br 0.717 0.726 0.991
Br 0.748 0.261 0.013
Br 0.748 0.735 0.487
Br 0.765 0.274 0.491

Calculated values
- Formation energy from raw total energies: -1.00 eV per atom
- Space group: Imma, No. 74

=====

(7)
DFT (PBE) results for crystalline KMnSi at its relaxed geometry.

Cell: 4.191 4.191 5.546 Å, 90.00 90.00 120.00°
Fractional coordinates of all 3 atoms:
K 0.000 0.000 0.000
Mn 0.667 0.333 0.500
Si 0.333 0.667 0.500

Calculated values
- Energy relative to the lowest polymorph listed for this composition: 90 meV per atom
- Formation energy from raw total energies: 0.37 eV per atom
- Space group: P-6m2, No. 187

=====

(8)
DFT (PBE) results for crystalline ZrCd4Hg at its relaxed geometry.

Cell: 5.783 5.783 5.783 Å, 60.00 60.00 60.00°
Fractional coordinates of all 6 atoms:
Zr 0.000 0.000 0.000
Cd 0.123 0.626 0.626
Cd 0.626 0.123 0.626
Cd 0.626 0.626 0.123
Cd 0.626 0.626 0.626
Hg 0.250 0.250 0.250

Calculated values
- Energy relative to the lowest polymorph listed for this composition: 215 meV per atom
- Energy of formation: 192.7 meV/atom
- Space group: F-43m, No. 216

=====

(9)
DFT (PBE) results for crystalline SrAlOs2F at its relaxed geometry.

Cell: 5.551 5.551 6.363 Å, 90.00 90.00 90.00°
Fractional coordinates of all 5 atoms:
Sr 0.000 0.000 0.000
Al 0.000 0.000 0.500
Os 0.000 0.500 0.000
Os 0.500 0.000 0.000
F 0.500 0.500 0.500

Calculated values
- Formation energy from raw total energies: 2.60 eV per atom
- Space group: P4/mmm, No. 123

=====

(10)
DFT (PBE) results for crystalline Ca2CoRu at its relaxed geometry.

Cell: 4.800 4.800 3.505 Å, 90.00 90.00 90.00°
Fractional coordinates of all 4 atoms:
Ca 0.000 0.500 0.000
Ca 0.500 0.000 0.000
Co 0.000 0.000 0.500
Ru 0.500 0.500 0.500

Calculated values
- Energy of formation: 522.2 meV/atom
- Space group: P4/mmm, No. 123

=====

(11)
DFT (PBE) results for crystalline CeDyTlSn at its relaxed geometry.

Cell: 3.991 3.991 7.048 Å, 90.00 90.00 90.00°
Fractional coordinates of all 4 atoms:
Ce 0.000 0.000 0.000
Dy 0.000 0.000 0.479
Tl 0.500 0.500 0.726
Sn 0.500 0.500 0.254

Calculated values
- Energy relative to the lowest polymorph listed for this composition: 0 meV per atom
- Energy of formation: -435.2 meV/atom
- Space group: P4mm, No. 99

=====

(12)
DFT (PBE) results for crystalline KSrBe2H8 at its relaxed geometry.

Cell: 8.382 8.382 8.382 Å, 31.76 31.76 31.76°
Fractional coordinates of all 12 atoms:
K 0.000 0.000 0.000
Sr 0.500 0.500 0.500
Be 0.242 0.242 0.242
Be 0.758 0.758 0.758
H 0.050 0.050 0.546
H 0.050 0.546 0.050
H 0.301 0.301 0.301
H 0.454 0.950 0.950
H 0.546 0.050 0.050
H 0.699 0.699 0.699
H 0.950 0.454 0.950
H 0.950 0.950 0.454

Calculated values
- Electronic total energy: -3.187 eV/atom
- Space group: R-3m, No. 166

=====

(13)
DFT (PBE) results for crystalline LiLa3N at its relaxed geometry.

Cell: 5.084 5.084 5.084 Å, 90.00 90.00 90.00°
Fractional coordinates of all 5 atoms:
Li 0.000 0.000 0.000
La 0.000 0.000 0.500
La 0.000 0.500 0.000
La 0.500 0.000 0.000
N 0.500 0.500 0.500

Calculated values
- Energy relative to the lowest polymorph listed for this composition: 1574 meV per atom
- Formation energy from raw total energies: 1.09 eV per atom
- Space group: Pm-3m, No. 221

=====

(14)
DFT (PBE) results for crystalline Pm2Pr3Tm at its relaxed geometry.

Cell: 5.957 18.522 3.785 Å, 90.00 90.00 90.00°
Fractional coordinates of all 12 atoms:
Pm 0.000 0.179 0.000
Pm 0.000 0.821 0.000
Pm 0.500 0.321 0.000
Pm 0.500 0.679 0.000
Pr 0.000 0.000 0.500
Pr 0.000 0.349 0.500
Pr 0.000 0.651 0.500
Pr 0.500 0.151 0.500
Pr 0.500 0.500 0.500
Pr 0.500 0.849 0.500
Tm 0.000 0.500 0.000
Tm 0.500 0.000 0.000

Calculated values
- Energy relative to the lowest polymorph listed for this composition: 75 meV per atom
- Energy of formation: 89.7 meV/atom
- Space group: Cmmm, No. 65

=====

(15)
DFT (PBE) results for crystalline PRu at its relaxed geometry.

Cell: 3.468 3.468 8.903 Å, 90.00 90.00 90.00°
Fractional coordinates of all 8 atoms:
P 0.000 0.250 0.375
P 0.000 0.750 0.625
P 0.500 0.250 0.125
P 0.500 0.750 0.875
Ru 0.000 0.250 0.875
Ru 0.000 0.750 0.125
Ru 0.500 0.250 0.625
Ru 0.500 0.750 0.375

Calculated values
- Energy relative to the lowest polymorph listed for this composition: 617 meV per atom
- Energy of formation: 55.8 meV/atom
- Space group: I4_1/amd, No. 141

=====

(16)
DFT (PBE) results for crystalline Pm5RhPb4 at its relaxed geometry.

Cell: 7.709 7.709 7.709 Å, 99.91 99.91 130.97°
Fractional coordinates of all 10 atoms:
Pm 0.000 0.000 0.000
Pm 0.299 0.659 0.833
Pm 0.466 0.299 0.641
Pm 0.659 0.825 0.359
Pm 0.825 0.466 0.167
Rh 0.522 0.522 0.000
Pb 0.144 0.376 0.393
Pb 0.376 0.984 0.233
Pb 0.751 0.144 0.767
Pb 0.984 0.751 0.607

Calculated values
- Energy of formation: -409.5 meV/atom
- Space group: I4, No. 79

=====

(17)
DFT (PBE) results for crystalline MgPd3Pb at its relaxed geometry.

Cell: 4.710 4.710 4.710 Å, 90.00 90.00 90.00°
Fractional coordinates of all 5 atoms:
Mg 0.000 0.000 0.000
Pd 0.000 0.000 0.500
Pd 0.000 0.500 0.000
Pd 0.500 0.000 0.000
Pb 0.500 0.500 0.500

Calculated values
- Energy relative to the lowest polymorph listed for this composition: 509 meV per atom
- Energy of formation: 210.1 meV/atom
- Space group: Pm-3m, No. 221

=====

(18)
DFT (PBE) results for crystalline Rb2SbH at its relaxed geometry.

Cell: 8.309 8.655 4.883 Å, 90.00 91.53 90.00°
Fractional coordinates of all 8 atoms:
Rb 0.000 0.250 0.000
Rb 0.000 0.750 0.000
Rb 0.500 0.250 0.000
Rb 0.500 0.750 0.000
Sb 0.244 0.000 0.520
Sb 0.744 0.500 0.520
H 0.433 0.000 0.365
H 0.933 0.500 0.365

Calculated values
- Energy relative to the lowest polymorph listed for this composition: 110 meV per atom
- Space group: Cm, No. 8

=====

(19)
DFT (PBE) results for crystalline Li2CaRh at its relaxed geometry.

Cell: 3.372 3.372 25.962 Å, 90.00 90.00 120.00°
Fractional coordinates of all 12 atoms:
Li 0.000 0.000 0.000
Li 0.000 0.000 0.248
Li 0.333 0.667 0.667
Li 0.333 0.667 0.915
Li 0.667 0.333 0.333
Li 0.667 0.333 0.581
Ca 0.000 0.000 0.471
Ca 0.333 0.667 0.138
Ca 0.667 0.333 0.804
Rh 0.000 0.000 0.729
Rh 0.333 0.667 0.396
Rh 0.667 0.333 0.062

Calculated values
- Energy relative to the lowest polymorph listed for this composition: 269 meV per atom
- Energy of formation: 72.3 meV/atom
- Space group: R3m, No. 160

=====

(20)
DFT (PBE) results for crystalline KGeBr3 at its relaxed geometry.

Cell: 8.710 7.606 11.911 Å, 90.00 112.12 90.00°
Fractional coordinates of all 20 atoms:
K 0.183 0.214 0.174
K 0.183 0.286 0.674
K 0.817 0.714 0.326
K 0.817 0.786 0.826
Ge 0.390 0.725 0.970
Ge 0.390 0.775 0.470
Ge 0.610 0.225 0.530
Ge 0.610 0.275 0.030
Br 0.158 0.505 0.925
Br 0.158 0.995 0.425
Br 0.209 0.501 0.419
Br 0.209 0.999 0.919
Br 0.412 0.691 0.765
Br 0.412 0.809 0.265
Br 0.588 0.191 0.735
Br 0.588 0.309 0.235
Br 0.791 0.001 0.081
Br 0.791 0.499 0.581
Br 0.842 0.005 0.575
Br 0.842 0.495 0.075

Calculated values
- Formation energy from raw total energies: -1.04 eV per atom
- Space group: P2_1/c, No. 14

=====

(21)
DFT (PBE) results for crystalline BeP2O2 at its relaxed geometry.

Cell: 3.334 3.334 4.881 Å, 90.00 90.00 90.00°
Fractional coordinates of all 5 atoms:
Be 0.000 0.000 0.000
P 0.500 0.500 0.000
P 0.500 0.500 0.500
O 0.000 0.500 0.500
O 0.500 0.000 0.500

Calculated values
- Energy relative to the lowest polymorph listed for this composition: 0 meV per atom
- Formation energy from raw total energies: -0.42 eV per atom
- Space group: P4/mmm, No. 123

=====

(22)
DFT (PBE) results for crystalline AcNdSm2S4 at its relaxed geometry.

Cell: 7.097 4.061 7.159 Å, 90.00 109.05 90.00°
Fractional coordinates of all 8 atoms:
Ac 0.000 0.000 0.000
Nd 0.500 0.500 0.000
Sm 0.000 0.500 0.500
Sm 0.500 0.000 0.500
S 0.252 0.000 0.739
S 0.262 0.500 0.266
S 0.738 0.500 0.734
S 0.748 0.000 0.261

Calculated values
- Formation energy from raw total energies: -2.00 eV per atom
- Space group: P2/m, No. 10

=====

(23)
DFT (PBE) results for crystalline La8CeNd2 at its relaxed geometry.

Cell: 9.620 9.620 9.620 Å, 144.85 129.13 63.33°
Fractional coordinates of all 11 atoms:
La 0.158 0.158 0.000
La 0.158 0.369 0.789
La 0.280 0.000 0.280
La 0.420 0.631 0.789
La 0.580 0.369 0.211
La 0.720 0.000 0.720
La 0.842 0.631 0.211
La 0.842 0.842 0.000
Ce 0.000 0.500 0.500
Nd 0.299 0.799 0.500
Nd 0.701 0.201 0.500

Calculated values
- Energy of formation: 93.1 meV/atom
- Space group: Immm, No. 71

=====

(24)
DFT (PBE) results for crystalline CaY2Tc at its relaxed geometry.

Cell: 3.555 5.202 11.929 Å, 90.00 90.00 90.00°
Fractional coordinates of all 8 atoms:
Ca 0.000 0.000 0.000
Ca 0.500 0.500 0.500
Y 0.000 0.000 0.381
Y 0.000 0.500 0.196
Y 0.500 0.000 0.696
Y 0.500 0.500 0.881
Tc 0.000 0.500 0.705
Tc 0.500 0.000 0.205

Calculated values
- Energy relative to the lowest polymorph listed for this composition: 207 meV per atom
- Energy of formation: 219.3 meV/atom
- Space group: Imm2, No. 44

=====

(25)
DFT (PBE) results for crystalline Zr2Np at its relaxed geometry.

Cell: 5.263 5.263 2.944 Å, 90.00 90.00 120.00°
Fractional coordinates of all 3 atoms:
Zr 0.333 0.667 0.000
Zr 0.667 0.333 0.000
Np 0.000 0.000 0.500

Calculated values
- Energy of formation: 319.5 meV/atom
- Space group: P6/mmm, No. 191